## i
## B2AsPb (GGA-PBE)

Data for crystalline B2AsPb at its relaxed geometry.

The crystal system is cubic. The calculation puts the calculated volume at 16.1 Å³/atom. For the magnetization, the calculation gives 0.0 Bohr magnetons per cell. As for the space-group type: Fm-3m, No. 225.

Unit cell a=4.497 b=4.497 c=4.497 alpha=60.00 beta=60.00 gamma=60.00
Atoms (fractional coordinates):
Pb 0.500 0.500 0.500
As 0.000 0.000 0.000
B 0.250 0.250 0.250
B 0.750 0.750 0.750

## ii
## B2AsPb (GGA-PBE)

Data for crystalline B2AsPb at its relaxed geometry.

The crystal system is tetragonal. The calculation puts the calculated volume at 17.0 Å³/atom. For the magnetization, the calculation gives 0.0 Bohr magnetons per cell. As for the space-group type: I-42d, No. 122.

Unit cell a=5.200 b=5.200 c=6.240 alpha=65.37 beta=65.37 gamma=90.00
Atoms (fractional coordinates):
Pb 0.000 0.000 0.000
Pb 0.750 0.250 0.500
As 0.500 0.500 0.000
As 0.250 0.750 0.500
B 0.577 0.125 0.250
B 0.173 0.625 0.250
B 0.375 0.423 0.750
B 0.875 0.827 0.750

It is i that is the least stable of them.

## i
## BAs2Pb (GGA-PBE)

Data for crystalline BAs2Pb at its relaxed geometry.

The crystal system is tetragonal. The calculation puts the calculated volume at 21.3 Å³/atom. For the magnetization, the calculation gives 0.0 Bohr magnetons per cell. As for the space-group type: I-42d, No. 122.

Unit cell a=6.286 b=6.286 c=6.192 alpha=59.50 beta=59.50 gamma=90.00
Atoms (fractional coordinates):
Pb 0.000 0.000 0.000
Pb 0.750 0.250 0.500
As 0.519 0.125 0.250
As 0.231 0.625 0.250
As 0.375 0.481 0.750
As 0.875 0.769 0.750
B 0.500 0.500 0.000
B 0.250 0.750 0.500

## ii
## BAs2Pb (GGA-PBE)

Data for crystalline BAs2Pb at its relaxed geometry.

The crystal system is cubic. The calculation puts the calculated volume at 20.2 Å³/atom. For the magnetization, the calculation gives 0.0 Bohr magnetons per cell. As for the space-group type: Fm-3m, No. 225.

Unit cell a=4.855 b=4.855 c=4.855 alpha=60.00 beta=60.00 gamma=60.00
Atoms (fractional coordinates):
Pb 0.500 0.500 0.500
As 0.250 0.250 0.250
As 0.750 0.750 0.750
B 0.000 0.000 0.000

It is ii that is the least stable of them.